A geometry-optimized K2PuNi2O6 structure. Source: Alexandria via LeMat-Bulk, functional PBE+U.

Cell lengths 5.4228, 9.4106, 6.6296 Å; angles 90.00, 108.35, 90.00 degrees
Space group C2/m (No. 12)
Inequivalent atoms, fractional coordinates:
K 0.0000 0.1738 0.0000
Pu 0.0000 0.0000 0.5000
Ni 0.0000 0.3339 0.5000
O 0.2274 0.1645 0.6750
O 0.2414 0.5000 0.6744

Values from the calculation:
For the calculated volume, the calculation gives 321.1 Å³ per cell. The energy is -6.4518 eV per atom.

A geometry-optimized KRbNiO2 structure. Source: Alexandria via LeMat-Bulk, functional PBE+U.

Cell lengths 5.5696, 6.6602, 5.3234 Å; angles 90.00, 90.00, 90.00 degrees
Space group Pmma (No. 51)
Inequivalent atoms, fractional coordinates:
K 0.2500 0.0000 0.0125
Rb 0.2500 0.5000 0.2868
Ni 0.0000 0.0000 0.5000
O 0.2500 0.1877 0.5896

Values from the calculation:
For the calculated volume, the calculation gives 197.5 Å³ per cell. The energy is -3.7521 eV per atom.

A geometry-optimized K3ReNi2O6 structure. Source: Alexandria via LeMat-Bulk, functional PBE+U.

Cell lengths 5.5017, 9.5445, 6.2367 Å; angles 90.00, 107.01, 90.00 degrees
Space group C2/m (No. 12)
Inequivalent atoms, fractional coordinates:
K 0.0000 0.0000 0.0000
K 0.0000 0.3274 0.0000
Re 0.0000 0.5000 0.5000
Ni 0.0000 0.1665 0.5000
O 0.2151 0.3433 0.6744
O 0.2465 0.0000 0.6769

Values from the calculation:
For the calculated volume, the calculation gives 313.2 Å³ per cell. The energy is -5.5263 eV per atom.

A geometry-optimized KReNi2O structure. Source: Alexandria via LeMat-Bulk, functional PBE+U.

Cell lengths 4.0574, 4.0574, 6.0932 Å; angles 90.00, 90.00, 90.00 degrees
Space group P4/mmm (No. 123)
Inequivalent atoms, fractional coordinates:
K 0.0000 0.0000 0.0000
Re 0.0000 0.0000 0.5000
Ni 0.0000 0.5000 0.0000
O 0.5000 0.5000 0.5000

Values from the calculation:
For the calculated volume, the calculation gives 100.3 Å³ per cell. The energy is -1.3586 eV per atom.

A geometry-optimized K2NiRhO4 structure. Source: Alexandria via LeMat-Bulk, functional PBE+U.

Cell lengths 5.5789, 13.2656, 18.4592 Å; angles 90.00, 90.00, 90.00 degrees
Space group Fddd (No. 70, origin choice 2)
Inequivalent atoms, fractional coordinates:
K 0.1250 0.1250 0.3012
Ni 0.1250 0.1250 0.1250
Rh 0.1250 0.1250 0.6250
O 0.1229 0.2750 0.8607

Values from the calculation:
For the calculated volume, the calculation gives 1366.1 Å³ per cell. The energy is -4.8555 eV per atom.

A geometry-optimized K3Ni2RhO6 structure. Source: Alexandria via LeMat-Bulk, functional PBE+U.

Cell lengths 5.4755, 9.4925, 6.1810 Å; angles 90.00, 107.16, 90.00 degrees
Space group C2/m (No. 12)
Inequivalent atoms, fractional coordinates:
K 0.0000 0.0000 0.0000
K 0.0000 0.3297 0.0000
Ni 0.0000 0.1665 0.5000
Rh 0.0000 0.5000 0.5000
O 0.2184 0.3399 0.6735
O 0.2383 0.0000 0.6753

Values from the calculation:
For the calculated volume, the calculation gives 307.0 Å³ per cell. The energy is -4.8761 eV per atom.

A geometry-optimized K4NiRh3O8 structure. Source: Alexandria via LeMat-Bulk, functional PBE+U.

Cell lengths 6.4346, 6.4346, 17.4484 Å; angles 90.00, 90.00, 120.00 degrees
Space group R-3m (No. 166, hexagonal axes)
Inequivalent atoms, fractional coordinates:
K 0.0000 0.0000 0.0000
K 0.0000 0.5000 0.0000
Ni 0.0000 0.0000 0.5000
Rh 0.0000 0.5000 0.5000
O 0.0000 0.0000 0.2234
O 0.0090 0.5045 0.7762

Values from the calculation:
For the calculated volume, the calculation gives 625.6 Å³ per cell. The energy is -5.3718 eV per atom.

A geometry-optimized K3NiRh3O8 structure. Source: Alexandria via LeMat-Bulk, functional PBE+U.

Cell lengths 6.2942, 6.2942, 17.8507 Å; angles 90.00, 90.00, 120.00 degrees
Space group R-3m (No. 166, hexagonal axes)
Inequivalent atoms, fractional coordinates:
K 0.0000 0.5000 0.0000
Ni 0.0000 0.0000 0.5000
Rh 0.0000 0.5000 0.5000
O 0.0000 0.0000 0.2241
O 0.0082 0.5041 0.7780

Values from the calculation:
For the calculated volume, the calculation gives 612.5 Å³ per cell. The energy is -5.5576 eV per atom.

A geometry-optimized K3Ni2RuO6 structure. Source: Alexandria via LeMat-Bulk, functional PBE+U.

Cell lengths 5.4789, 9.4960, 6.2466 Å; angles 90.00, 106.90, 90.00 degrees
Space group C2/m (No. 12)
Inequivalent atoms, fractional coordinates:
K 0.0000 0.0000 0.0000
K 0.0000 0.3279 0.0000
Ni 0.0000 0.1664 0.5000
Ru 0.0000 0.5000 0.5000
O 0.2158 0.3433 0.6756
O 0.2465 0.0000 0.6783

Values from the calculation:
For the calculated volume, the calculation gives 311.0 Å³ per cell. The energy is -5.1140 eV per atom.

A geometry-optimized K2NiRuO6 structure. Source: Alexandria via LeMat-Bulk, functional PBE+U.

Cell lengths 5.9160, 5.9160, 4.9928 Å; angles 90.00, 90.00, 120.00 degrees
Space group P-3m1 (No. 164)
Inequivalent atoms, fractional coordinates:
K 0.3333 0.6667 0.1962
Ni 0.0000 0.0000 0.0000
Ru 0.0000 0.0000 0.5000
O 0.1427 0.2855 0.7562

Values from the calculation:
For the calculated volume, the calculation gives 151.3 Å³ per cell. The energy is -5.3059 eV per atom.

A geometry-optimized KNiRuO4 structure. Source: Alexandria via LeMat-Bulk, functional PBE+U.

Cell lengths 5.6915, 5.9723, 6.8666 Å; angles 90.00, 104.18, 90.00 degrees
Space group P2_1/m (No. 11)
Inequivalent atoms, fractional coordinates:
K 0.0851 0.2500 0.1030
Ni 0.2945 0.7500 0.5656
Ru 0.4190 0.2500 0.7286
O 0.2482 0.7500 0.2631
O 0.2858 0.5156 0.7748
O 0.3656 0.2500 0.4488

Values from the calculation:
For the calculated volume, the calculation gives 226.3 Å³ per cell. The energy is -5.5965 eV per atom.

A geometry-optimized K2Ni2RuO6 structure. Source: Alexandria via LeMat-Bulk, functional PBE+U.

Cell lengths 5.3378, 9.1379, 6.4397 Å; angles 90.00, 107.27, 90.00 degrees
Space group C2/m (No. 12)
Inequivalent atoms, fractional coordinates:
K 0.0000 0.1723 0.0000
Ni 0.0000 0.3350 0.5000
Ru 0.0000 0.0000 0.5000
O 0.2158 0.1573 0.6708
O 0.2487 0.5000 0.6702

Values from the calculation:
For the calculated volume, the calculation gives 300.0 Å³ per cell. The energy is -5.3223 eV per atom.

A geometry-optimized KNiSO4 structure. Source: Alexandria via LeMat-Bulk, functional PBE+U.

Cell lengths 8.0448, 8.0448, 8.0448 Å; angles 90.00, 90.00, 90.00 degrees
Space group F-43m (No. 216)
Inequivalent atoms, fractional coordinates:
K 0.0000 0.0000 0.0000
Ni 0.2500 0.2500 0.2500
S 0.0000 0.0000 0.5000
O 0.1069 0.1069 0.3931

Values from the calculation:
For the calculated volume, the calculation gives 520.6 Å³ per cell. The energy is -4.9887 eV per atom.

A geometry-optimized K2NiSO structure. Source: Alexandria via LeMat-Bulk, functional PBE+U.

Cell lengths 5.9360, 5.9360, 3.3917 Å; angles 90.00, 90.00, 90.00 degrees
Space group P4/mmm (No. 123)
Inequivalent atoms, fractional coordinates:
K 0.0000 0.5000 0.0000
Ni 0.0000 0.0000 0.0000
S 0.5000 0.5000 0.5000
O 0.0000 0.0000 0.5000

Values from the calculation:
For the calculated volume, the calculation gives 119.5 Å³ per cell. The energy is -3.3076 eV per atom.

A geometry-optimized KNiSb2O8 structure. Source: Alexandria via LeMat-Bulk, functional PBE+U.

Cell lengths 5.5173, 5.5173, 6.7352 Å; angles 90.00, 90.00, 120.00 degrees
Space group P-3 (No. 147)
Inequivalent atoms, fractional coordinates:
K 0.0000 0.0000 0.0000
Ni 0.0000 0.0000 0.5000
Sb 0.3333 0.6667 0.4506
O 0.0391 0.3557 0.6362
O 0.3333 0.6667 0.1444

Values from the calculation:
For the calculated volume, the calculation gives 177.6 Å³ per cell. The energy is -5.1816 eV per atom.

A geometry-optimized K2NiSbO4 structure. Source: Alexandria via LeMat-Bulk, functional PBE+U.

Cell lengths 7.8389, 7.4794, 5.8901 Å; angles 90.00, 129.00, 90.00 degrees
Space group C2 (No. 5)
Inequivalent atoms, fractional coordinates:
K 0.0000 0.0000 0.0000
K 0.0000 0.2483 0.5000
Ni 0.0000 0.4742 0.0000
Sb 0.0000 0.7401 0.5000
O 0.1410 0.5726 0.4023
O 0.2333 0.3100 0.0816

Values from the calculation:
For the calculated volume, the calculation gives 268.4 Å³ per cell. The energy is -4.8920 eV per atom.

A geometry-optimized KNiSe2O6 structure. Source: Alexandria via LeMat-Bulk, functional PBE+U.

Cell lengths 5.4473, 5.4473, 17.8910 Å; angles 90.00, 90.00, 120.00 degrees
Space group R-3 (No. 148, hexagonal axes)
Inequivalent atoms, fractional coordinates:
K 0.0000 0.0000 0.0000
Ni 0.0000 0.0000 0.5000
Se 0.0000 0.0000 0.2633
O 0.0096 0.4033 0.8993

Values from the calculation:
For the calculated volume, the calculation gives 459.8 Å³ per cell. The energy is -4.9610 eV per atom.

A geometry-optimized K2NiSeO4 structure. Source: Alexandria via LeMat-Bulk, functional PBE+U.

Cell lengths 5.6098, 10.7741, 22.2978 Å; angles 90.00, 90.00, 90.00 degrees
Space group Fddd (No. 70, origin choice 2)
Inequivalent atoms, fractional coordinates:
K 0.1250 0.1250 0.2862
Ni 0.1250 0.1250 0.1250
Se 0.1250 0.1250 0.6250
O 0.1185 0.3712 0.3178

Values from the calculation:
For the calculated volume, the calculation gives 1347.7 Å³ per cell. The energy is -4.4224 eV per atom.

A geometry-optimized KNiSe2O8 structure. Source: Alexandria via LeMat-Bulk, functional PBE+U.

Cell lengths 4.9746, 4.9746, 25.4464 Å; angles 90.00, 90.00, 120.00 degrees
Space group R-3 (No. 148, hexagonal axes)
Inequivalent atoms, fractional coordinates:
K 0.0000 0.0000 0.0000
Ni 0.0000 0.0000 0.5000
Se 0.0000 0.0000 0.2338
O 0.0000 0.0000 0.2986
O 0.0008 0.6440 0.1202

Values from the calculation:
For the calculated volume, the calculation gives 545.4 Å³ per cell. The energy is -5.0042 eV per atom.

A geometry-optimized K2NiSnO4 structure. Source: Alexandria via LeMat-Bulk, functional PBE+U.

Cell lengths 8.1405, 7.6106, 5.9673 Å; angles 90.00, 132.93, 90.00 degrees
Space group C2 (No. 5)
Inequivalent atoms, fractional coordinates:
K 0.0000 0.0000 0.0000
K 0.0000 0.2551 0.5000
Ni 0.0000 0.7402 0.5000
Sn 0.0000 0.4838 0.0000
O 0.1472 0.6099 0.3894
O 0.2396 0.3345 0.0872

Values from the calculation:
For the calculated volume, the calculation gives 270.7 Å³ per cell. The energy is -4.9927 eV per atom.